Entry 1:
# TmOF GGA-PBE relaxed
# Symmetry = P4_12_12
# Calculated volume = 14.5 Å³/atom
# DFT total energy = -7.5628 eV per atom
data_TmOF
_chemical_formula_sum 'Tm4 O4 F4'
_space_group_name_H-M_alt 'P 1'
_space_group_IT_number 1
_space_group_name_Hall 'P 1'
_cell_length_a 5.050
_cell_length_b 5.050
_cell_length_c 6.839
_cell_angle_alpha 90.00
_cell_angle_beta 90.00
_cell_angle_gamma 90.00
loop_
_atom_site_label
_atom_site_type_symbol
_atom_site_fract_x
_atom_site_fract_y
_atom_site_fract_z
F1 F 0.202 0.798 0.750
F2 F 0.702 0.702 0.000
F3 F 0.798 0.202 0.250
F4 F 0.298 0.298 0.500
Tm1 Tm 0.029 0.029 0.000
Tm2 Tm 0.529 0.471 0.750
Tm3 Tm 0.471 0.529 0.250
Tm4 Tm 0.971 0.971 0.500
O1 O 0.181 0.819 0.250
O2 O 0.681 0.681 0.500
O3 O 0.819 0.181 0.750
O4 O 0.319 0.319 0.000


Entry 2:
# TmOF GGA-PBE relaxed
# Symmetry = P1
# Calculated volume = 13.9 Å³/atom
# DFT total energy = -7.4780 eV per atom
data_TmOF
_chemical_formula_sum 'Tm4 O4 F4'
_space_group_name_H-M_alt 'P 1'
_space_group_IT_number 1
_space_group_name_Hall 'P 1'
_cell_length_a 6.288
_cell_length_b 5.890
_cell_length_c 5.689
_cell_angle_alpha 119.67
_cell_angle_beta 109.58
_cell_angle_gamma 92.62
loop_
_atom_site_label
_atom_site_type_symbol
_atom_site_fract_x
_atom_site_fract_y
_atom_site_fract_z
Tm1 Tm 0.788 0.975 0.811
Tm2 Tm 0.583 0.658 0.103
Tm3 Tm 0.392 0.214 0.274
Tm4 Tm 0.999 0.441 0.660
O1 O 0.329 0.468 0.649
O2 O 0.092 0.874 0.981
O3 O 0.646 0.026 0.113
O4 O 0.699 0.560 0.455
F1 F 0.249 0.419 0.050
F2 F 0.479 0.954 0.458
F3 F 0.804 0.407 0.922
F4 F 0.941 0.004 0.526


Entry 3:
# TmOF GGA-PBE relaxed
# Symmetry = Pnma
# Calculated volume = 12.2 Å³/atom
# DFT total energy = -7.6748 eV per atom
data_TmOF
_chemical_formula_sum 'Tm4 O4 F4'
_space_group_name_H-M_alt 'P 1'
_space_group_IT_number 1
_space_group_name_Hall 'P 1'
_cell_length_a 7.456
_cell_length_b 3.713
_cell_length_c 5.290
_cell_angle_alpha 90.00
_cell_angle_beta 90.00
_cell_angle_gamma 90.00
loop_
_atom_site_label
_atom_site_type_symbol
_atom_site_fract_x
_atom_site_fract_y
_atom_site_fract_z
Tm1 Tm 0.628 0.250 0.288
Tm2 Tm 0.128 0.250 0.212
Tm3 Tm 0.872 0.750 0.788
Tm4 Tm 0.372 0.750 0.712
O1 O 0.361 0.250 0.484
O2 O 0.639 0.750 0.516
O3 O 0.861 0.250 0.016
O4 O 0.139 0.750 0.984
F1 F 0.393 0.250 0.986
F2 F 0.893 0.250 0.514
F3 F 0.107 0.750 0.486
F4 F 0.607 0.750 0.014


Entry 4:
# ZnOF2 GGA-PBE relaxed
# Symmetry = P-1
# Calculated volume = 11.1 Å³/atom
# DFT total energy = -4.0477 eV per atom
data_ZnOF2
_chemical_formula_sum 'Zn2 O2 F4'
_space_group_name_H-M_alt 'P 1'
_space_group_IT_number 1
_space_group_name_Hall 'P 1'
_cell_length_a 3.073
_cell_length_b 3.084
_cell_length_c 10.894
_cell_angle_alpha 87.57
_cell_angle_beta 82.01
_cell_angle_gamma 60.14
loop_
_atom_site_label
_atom_site_type_symbol
_atom_site_fract_x
_atom_site_fract_y
_atom_site_fract_z
F1 F 0.851 0.029 0.774
F2 F 0.149 0.971 0.226
F3 F 0.714 0.661 0.410
F4 F 0.286 0.339 0.590
Zn1 Zn 0.569 0.684 0.682
Zn2 Zn 0.431 0.316 0.318
O1 O 0.420 0.691 0.969
O2 O 0.580 0.309 0.031


Entry 5:
# Zr2O3F2 GGA-PBE relaxed
# Symmetry = P-1
# Calculated volume = 11.3 Å³/atom
# DFT total energy = -8.4367 eV per atom
data_Zr2O3F2
_chemical_formula_sum 'Zr4 O6 F4'
_space_group_name_H-M_alt 'P 1'
_space_group_IT_number 1
_space_group_name_Hall 'P 1'
_cell_length_a 4.856
_cell_length_b 5.626
_cell_length_c 6.223
_cell_angle_alpha 81.03
_cell_angle_beta 71.17
_cell_angle_gamma 89.42
loop_
_atom_site_label
_atom_site_type_symbol
_atom_site_fract_x
_atom_site_fract_y
_atom_site_fract_z
Zr1 Zr 0.425 0.118 0.225
Zr2 Zr 0.575 0.882 0.775
Zr3 Zr 0.127 0.419 0.736
Zr4 Zr 0.873 0.581 0.264
F1 F 0.996 0.070 0.696
F2 F 0.410 0.779 0.499
F3 F 0.004 0.930 0.304
F4 F 0.590 0.221 0.501
O1 O 0.793 0.587 0.647
O2 O 0.207 0.413 0.353
O3 O 0.200 0.664 0.934
O4 O 0.800 0.336 0.066
O5 O 0.641 0.823 0.079
O6 O 0.359 0.177 0.921


Entry 6:
# OsF GGA-PBE relaxed
# Symmetry = Fm-3m
# Calculated volume = 13.7 Å³/atom
# Energy relative to the lowest polymorph listed for this composition = 228 kJ/mol of formula units
data_OsF
_chemical_formula_sum 'Os1 F1'
_space_group_name_H-M_alt 'P 1'
_space_group_IT_number 1
_space_group_name_Hall 'P 1'
_cell_length_a 3.384
_cell_length_b 3.384
_cell_length_c 3.384
_cell_angle_alpha 60.00
_cell_angle_beta 60.00
_cell_angle_gamma 60.00
loop_
_atom_site_label
_atom_site_type_symbol
_atom_site_fract_x
_atom_site_fract_y
_atom_site_fract_z
Os1 Os 0.500 0.500 0.500
F1 F 0.000 0.000 0.000


Entry 7:
# Os2F GGA-PBE relaxed
# Symmetry = Fd-3m
# Calculated volume = 15.6 Å³/atom
# Energy relative to the lowest polymorph listed for this composition = 0 kJ/mol of formula units
data_Os2F
_chemical_formula_sum 'Os4 F2'
_space_group_name_H-M_alt 'P 1'
_space_group_IT_number 1
_space_group_name_Hall 'P 1'
_cell_length_a 5.093
_cell_length_b 5.093
_cell_length_c 5.093
_cell_angle_alpha 60.00
_cell_angle_beta 60.00
_cell_angle_gamma 60.00
loop_
_atom_site_label
_atom_site_type_symbol
_atom_site_fract_x
_atom_site_fract_y
_atom_site_fract_z
Os1 Os 0.625 0.625 0.125
Os2 Os 0.625 0.125 0.625
Os3 Os 0.125 0.625 0.625
Os4 Os 0.625 0.625 0.625
F1 F 0.000 0.000 0.000
F2 F 0.250 0.250 0.250


Entry 8:
# OsF5 GGA-PBE relaxed
# Symmetry = I4/m
# Calculated volume = 11.3 Å³/atom
# Energy relative to the lowest polymorph listed for this composition = 47 kJ/mol of formula units
data_OsF5
_chemical_formula_sum 'Os1 F5'
_space_group_name_H-M_alt 'P 1'
_space_group_IT_number 1
_space_group_name_Hall 'P 1'
_cell_length_a 4.581
_cell_length_b 4.581
_cell_length_c 4.581
_cell_angle_alpha 100.73
_cell_angle_beta 100.73
_cell_angle_gamma 128.88
loop_
_atom_site_label
_atom_site_type_symbol
_atom_site_fract_x
_atom_site_fract_y
_atom_site_fract_z
F1 F 0.500 0.500 0.000
F2 F 0.697 0.103 0.799
F3 F 0.103 0.303 0.406
F4 F 0.897 0.697 0.594
F5 F 0.303 0.897 0.201
Os1 Os 0.000 0.000 0.000


Entry 9:
# OsF2 GGA-PBE relaxed
# Symmetry = Fd-3m
# Calculated volume = 10.0 Å³/atom
# Energy relative to the lowest polymorph listed for this composition = 217 kJ/mol of formula units
data_OsF2
_chemical_formula_sum 'Os2 F4'
_space_group_name_H-M_alt 'P 1'
_space_group_IT_number 1
_space_group_name_Hall 'P 1'
_cell_length_a 4.390
_cell_length_b 4.390
_cell_length_c 4.390
_cell_angle_alpha 60.00
_cell_angle_beta 60.00
_cell_angle_gamma 60.00
loop_
_atom_site_label
_atom_site_type_symbol
_atom_site_fract_x
_atom_site_fract_y
_atom_site_fract_z
F1 F 0.625 0.125 0.625
F2 F 0.625 0.625 0.125
F3 F 0.625 0.625 0.625
F4 F 0.125 0.625 0.625
Os1 Os 0.000 0.000 0.000
Os2 Os 0.250 0.250 0.250


Entry 10:
# OsF GGA-PBE relaxed
# Symmetry = P-6m2
# Calculated volume = 12.2 Å³/atom
# Energy relative to the lowest polymorph listed for this composition = 0 kJ/mol of formula units
data_OsF
_chemical_formula_sum 'Os1 F1'
_space_group_name_H-M_alt 'P 1'
_space_group_IT_number 1
_space_group_name_Hall 'P 1'
_cell_length_a 2.601
_cell_length_b 2.601
_cell_length_c 4.153
_cell_angle_alpha 90.00
_cell_angle_beta 90.00
_cell_angle_gamma 120.00
loop_
_atom_site_label
_atom_site_type_symbol
_atom_site_fract_x
_atom_site_fract_y
_atom_site_fract_z
Os1 Os 0.333 0.667 0.250
F1 F 0.667 0.333 0.750


Entry 11:
# OsF5 GGA-PBE relaxed
# Symmetry = P2_1/c
# Calculated volume = 11.4 Å³/atom
# Energy relative to the lowest polymorph listed for this composition = 0 kJ/mol of formula units
data_OsF5
_chemical_formula_sum 'Os8 F40'
_space_group_name_H-M_alt 'P 1'
_space_group_IT_number 1
_space_group_name_Hall 'P 1'
_cell_length_a 5.073
_cell_length_b 9.353
_cell_length_c 11.650
_cell_angle_alpha 90.00
_cell_angle_beta 98.60
_cell_angle_gamma 90.00
loop_
_atom_site_label
_atom_site_type_symbol
_atom_site_fract_x
_atom_site_fract_y
_atom_site_fract_z
F1 F 0.510 0.419 0.251
F2 F 0.598 0.829 0.654
F3 F 0.013 0.165 0.753
F4 F 0.293 0.080 0.950
F5 F 0.708 0.084 0.550
F6 F 0.910 0.912 0.852
F7 F 0.708 0.416 0.050
F8 F 0.490 0.919 0.249
F9 F 0.799 0.834 0.452
F10 F 0.201 0.334 0.048
F11 F 0.490 0.581 0.749
F12 F 0.201 0.836 0.049
F13 F 0.987 0.835 0.247
F14 F 0.598 0.334 0.651
F15 F 0.402 0.171 0.346
F16 F 0.293 0.420 0.450
F17 F 0.090 0.088 0.148
F18 F 0.201 0.166 0.548
F19 F 0.201 0.664 0.549
F20 F 0.987 0.665 0.747
F21 F 0.402 0.834 0.849
F22 F 0.108 0.915 0.651
F23 F 0.108 0.585 0.151
F24 F 0.707 0.580 0.550
F25 F 0.598 0.671 0.154
F26 F 0.013 0.335 0.253
F27 F 0.892 0.085 0.349
F28 F 0.402 0.329 0.846
F29 F 0.892 0.415 0.849
F30 F 0.402 0.666 0.349
F31 F 0.799 0.164 0.951
F32 F 0.910 0.588 0.352
F33 F 0.292 0.916 0.450
F34 F 0.799 0.666 0.952
F35 F 0.598 0.166 0.151
F36 F 0.510 0.081 0.751
F37 F 0.707 0.920 0.050
F38 F 0.090 0.412 0.648
F39 F 0.292 0.584 0.950
F40 F 0.799 0.336 0.451
Os1 Os 0.505 0.763 0.997
Os2 Os 0.177 0.999 0.290
Os3 Os 0.505 0.737 0.497
Os4 Os 0.495 0.237 0.003
Os5 Os 0.495 0.263 0.503
Os6 Os 0.177 0.501 0.790
Os7 Os 0.823 0.499 0.210
Os8 Os 0.823 0.001 0.710


Entry 12:
# OsF2 GGA-PBE relaxed
# Symmetry = Fd-3m
# Calculated volume = 36.2 Å³/atom
# Energy relative to the lowest polymorph listed for this composition = 130 kJ/mol of formula units
data_OsF2
_chemical_formula_sum 'Os2 F4'
_space_group_name_H-M_alt 'P 1'
_space_group_IT_number 1
_space_group_name_Hall 'P 1'
_cell_length_a 6.745
_cell_length_b 6.745
_cell_length_c 6.745
_cell_angle_alpha 60.00
_cell_angle_beta 60.00
_cell_angle_gamma 60.00
loop_
_atom_site_label
_atom_site_type_symbol
_atom_site_fract_x
_atom_site_fract_y
_atom_site_fract_z
F1 F 0.625 0.625 0.125
F2 F 0.625 0.625 0.625
F3 F 0.125 0.625 0.625
F4 F 0.625 0.125 0.625
Os1 Os 0.500 0.500 0.500
Os2 Os 0.750 0.750 0.750


Sequential density output: 7.77; 8.13; 9.25; 4.48; 5.61; 12.68; 14.20; 7.01; 12.67; 14.28; 6.93; 3.49 g/cm³